# Li2Sb3Au4 (PBE, relaxed)
# Uncorrected formation energy ... -0.2814 eV/atom
data_Li2Sb3Au4
_cell_length_a 7.987
_cell_length_b 4.681
_cell_length_c 10.997
_cell_angle_alpha 90.00
_cell_angle_beta 103.68
_cell_angle_gamma 90.00
_space_group_name_H-M_alt 'C 1 2/m 1'
_space_group_IT_number 12
_space_group_name_Hall '-C 2y'
loop_
_atom_site_label
_atom_site_fract_x
_atom_site_fract_y
_atom_site_fract_z
Li1 0.240 0.000 0.298
Sb1 0.000 0.000 0.500
Sb2 0.007 0.500 0.139
Au1 0.134 0.500 0.405
Au2 0.136 0.000 0.798

---

# Pm8SiSn6 (PBE, relaxed)
# Uncorrected formation energy ... -0.6183 eV/atom
data_Pm8SiSn6
_cell_length_a 9.6281
_cell_length_b 9.6281
_cell_length_c 17.8680
_cell_angle_alpha 90.00
_cell_angle_beta 90.00
_cell_angle_gamma 120.00
_space_group_name_H-M_alt 'R -3'
_space_group_IT_number 148
_space_group_name_Hall '-R 3'
loop_
_atom_site_label
_atom_site_fract_x
_atom_site_fract_y
_atom_site_fract_z
Pm1 0.0000 0.0000 0.1897
Pm2 0.0129 0.2524 0.5919
Si1 0.0000 0.0000 0.5000
Sn1 0.0186 0.6040 0.5699

---

# Ac3Ag2GePd9 (PBE, relaxed)
# Energy of formation from the pure elements ... -0.4808 eV/atom
data_Ac3Ag2GePd9
_cell_length_a 5.8056
_cell_length_b 5.8056
_cell_length_c 12.0103
_cell_angle_alpha 90.00
_cell_angle_beta 90.00
_cell_angle_gamma 120.00
_space_group_name_H-M_alt 'P -3 m 1'
_space_group_IT_number 164
_space_group_name_Hall '-P 3 2"'
loop_
_atom_site_label
_atom_site_fract_x
_atom_site_fract_y
_atom_site_fract_z
Ac1 0.0000 0.0000 0.0000
Ac2 0.3333 0.6667 0.7392
Ag1 0.3333 0.6667 0.1776
Ge1 0.0000 0.0000 0.5000
Pd1 0.0000 0.5000 0.0000
Pd2 0.1738 0.3476 0.3621

---

# ScFeSnN2 (PBE, relaxed)
# Uncorrected formation energy ... 0.7345 eV/atom
data_ScFeSnN2
_cell_length_a 3.830
_cell_length_b 3.830
_cell_length_c 4.969
_cell_angle_alpha 90.00
_cell_angle_beta 90.00
_cell_angle_gamma 90.00
_space_group_name_H-M_alt 'P 4/m m m'
_space_group_IT_number 123
_space_group_name_Hall '-P 4 2'
loop_
_atom_site_label
_atom_site_fract_x
_atom_site_fract_y
_atom_site_fract_z
Sc1 0.000 0.000 0.000
Fe1 0.000 0.000 0.500
Sn1 0.500 0.500 0.000
N1 0.000 0.500 0.500

---

# La2Pr5Tm12 (PBE, relaxed)
# Energy of formation from the pure elements ... 0.2278 eV/atom
data_La2Pr5Tm12
_cell_length_a 17.942
_cell_length_b 8.973
_cell_length_c 8.767
_cell_angle_alpha 90.00
_cell_angle_beta 115.51
_cell_angle_gamma 90.00
_space_group_name_H-M_alt 'C 1 2/m 1'
_space_group_IT_number 12
_space_group_name_Hall '-C 2y'
loop_
_atom_site_label
_atom_site_fract_x
_atom_site_fract_y
_atom_site_fract_z
La1 0.000 0.170 0.000
Pr1 0.000 0.500 0.500
Pr2 0.226 0.000 0.244
Pr3 0.235 0.500 0.290
Tm1 0.043 0.500 0.183
Tm2 0.063 0.000 0.708
Tm3 0.123 0.212 0.448
Tm4 0.145 0.315 0.904

---

# Ca3Nd2SmSe6 (PBE, relaxed)
# Uncorrected formation energy ... -1.9036 eV/atom
data_Ca3Nd2SmSe6
_cell_length_a 7.237
_cell_length_b 12.522
_cell_length_c 7.375
_cell_angle_alpha 90.00
_cell_angle_beta 109.12
_cell_angle_gamma 90.00
_space_group_name_H-M_alt 'C 1 2/m 1'
_space_group_IT_number 12
_space_group_name_Hall '-C 2y'
loop_
_atom_site_label
_atom_site_fract_x
_atom_site_fract_y
_atom_site_fract_z
Ca1 0.000 0.000 0.000
Ca2 0.000 0.333 0.000
Nd1 0.000 0.166 0.500
Sm1 0.000 0.500 0.500
Se1 0.245 0.500 0.244
Se2 0.250 0.165 0.245

---

# LaInIN2 (PBE, relaxed)
# Uncorrected formation energy ... 0.4525 eV/atom
data_LaInIN2
_cell_length_a 4.514
_cell_length_b 4.514
_cell_length_c 6.770
_cell_angle_alpha 90.00
_cell_angle_beta 90.00
_cell_angle_gamma 90.00
_space_group_name_H-M_alt 'P 4/m m m'
_space_group_IT_number 123
_space_group_name_Hall '-P 4 2'
loop_
_atom_site_label
_atom_site_fract_x
_atom_site_fract_y
_atom_site_fract_z
La1 0.000 0.000 0.000
In1 0.500 0.500 0.500
I1 0.000 0.000 0.500
N1 0.000 0.500 0.000

---

# PmPr8Ho2 (PBE, relaxed)
# Energy of formation from the pure elements ... 0.1323 eV/atom
data_PmPr8Ho2
_cell_length_a 9.252
_cell_length_b 16.749
_cell_length_c 6.077
_cell_angle_alpha 90.00
_cell_angle_beta 123.84
_cell_angle_gamma 90.00
_space_group_name_H-M_alt 'C 1 2/m 1'
_space_group_IT_number 12
_space_group_name_Hall '-C 2y'
loop_
_atom_site_label
_atom_site_fract_x
_atom_site_fract_y
_atom_site_fract_z
Pm1 0.000 0.000 0.000
Pr1 0.000 0.205 0.000
Pr2 0.078 0.500 0.796
Pr3 0.218 0.119 0.681
Ho1 0.000 0.310 0.500

---

Going through the records in order, we get DOS at the Fermi energy values of 3.1; 12.2; 5.9; 4.0; 28.4; 4.6; 2.5; 15.3 states/eV/f.u..